# Co2Au

A relaxed Co2Au crystal (PBE-GGA, Alexandria via LeMat-Bulk).

Properties
formation energy	162	meV per atom
space-group type	I4/mmm, No. 139
volume	80.9	Å³/cell
D(E_F)	0.84	states/eV/atom

Structure (POSCAR):
```
Co2Au
1.0
2.737 0.000 0.000
0.000 2.737 0.000
0.000 0.000 10.800
Co Au
4 2
Cartesian
0.000 0.000 1.998 Co
0.000 0.000 8.802 Co
1.369 1.369 3.402 Co
1.369 1.369 7.398 Co
0.000 0.000 5.400 Au
1.369 1.369 0.000 Au
```